(1)
A geometry-optimized SmRh2O6 structure. Source: Alexandria, functional GGA-PBE.

- DOS at the Fermi energy: 1.4 states/eV/cell
- Uncorrected energy: -6.71 eV/atom

abc: 5.5527 5.5527 5.0651
angles: 90.00 90.00 120.00
Space group P-31m (No. 162)
Asymmetric unit:
1 Sm 0.0000 0.0000 0.0000 [1 per cell]
2 Rh 0.3333 0.6667 0.0000 [2 per cell]
3 O 0.0000 0.3724 0.2015 [6 per cell]



(2)
A geometry-optimized Sm4Rh2O structure. Source: Alexandria, functional GGA-PBE.

- DOS at the Fermi energy: 11.9 states/eV/cell
- Uncorrected energy: -6.67 eV/atom

abc: 4.721 4.721 14.586
angles: 90.00 90.00 90.00
Space group I4/mmm (No. 139)
Asymmetric unit:
1 Sm 0.000 0.000 0.186 [4 per cell]
2 Sm 0.000 0.500 0.000 [4 per cell]
3 Rh 0.000 0.000 0.371 [4 per cell]
4 O 0.000 0.000 0.000 [2 per cell]



(3)
A geometry-optimized Sm2RhO6 structure. Source: Alexandria, functional GGA-PBE.

- DOS at the Fermi energy: 15.3 states/eV/cell
- Uncorrected energy: -7.10 eV/atom

abc: 3.696 5.492 11.170
angles: 90.00 90.00 90.00
Space group Immm (No. 71)
Asymmetric unit:
1 Sm 0.000 0.000 0.170 [4 per cell]
2 Rh 0.000 0.000 0.500 [2 per cell]
3 O 0.000 0.232 0.351 [8 per cell]
4 O 0.000 0.293 0.000 [4 per cell]